1.
DFT (GGA-PBE) results for an optimized crystal structure of Ta2ZnH.

Cell lengths 4.3062, 4.3062, 4.3062 Å; angles 60.00, 60.00, 60.00 degrees
Atoms (fractional coordinates):
Ta (0.2500, 0.2500, 0.2500)
Ta (0.7500, 0.7500, 0.7500)
Zn (0.0000, 0.0000, 0.0000)
H (0.5000, 0.5000, 0.5000)

Values from the calculation:
SG ... Fm-3m
Distance to the lowest polymorph of the same formula ... 2.31 eV/f.u.
M_tot ... 0.0 μB per formula unit

=====

2.
DFT (GGA-PBE) results for an optimized crystal structure of Sr4CdPt3.

Cell lengths 4.3496, 4.6349, 11.4305 Å; angles 90.00, 90.00, 90.00 degrees
Atoms (fractional coordinates):
Sr (0.0000, 0.0000, 0.0000)
Sr (0.0000, 0.5000, 0.2594)
Sr (0.5000, 0.0000, 0.4665)
Sr (0.5000, 0.5000, 0.7732)
Cd (0.0000, 0.0000, 0.6876)
Pt (0.0000, 0.5000, 0.5545)
Pt (0.5000, 0.0000, 0.1974)
Pt (0.5000, 0.5000, 0.0510)

Values from the calculation:
SG ... Pmm2
DFT formation energy ... -0.6951 eV/atom
M_tot ... 0.0 μB per formula unit